# 1
Entry from Alexandria: a relaxed YTi2GaMo crystal (PBE).

Its formation energy is 1.729 eV/atom. Its final energy is -0.202 hartree per atom.

It has space group P4/mmm (No. 123), with a = 4.8549 Å, b = 4.8549 Å, c = 4.7648 Å, α = 90.00°, β = 90.00° and γ = 90.00°. The asymmetric unit holds Y at (0.0000, 0.0000, 0.0000), Ti at (0.0000, 0.5000, 0.0000), Ga at (0.5000, 0.5000, 0.5000) and Mo at (0.0000, 0.0000, 0.5000).

# 2
Entry from Alexandria: a relaxed Y2TiGaMo crystal (PBE).

Its formation energy is 0.764 eV/atom. Its final energy is -0.227 hartree per atom.

It has space group P4/mmm (No. 123), with a = 5.2332 Å, b = 5.2332 Å, c = 4.9658 Å, α = 90.00°, β = 90.00° and γ = 90.00°. The asymmetric unit holds Y at (0.0000, 0.5000, 0.0000), Ti at (0.0000, 0.0000, 0.5000), Ga at (0.5000, 0.5000, 0.5000) and Mo at (0.5000, 0.5000, 0.0000).

# 3
Entry from Alexandria: a relaxed TlGaMo2 crystal (PBE).

Its formation energy is 0.702 eV/atom. Its final energy is -0.223 hartree per atom. The calculation puts the relative energy among the computed polymorphs at 0.27 eV per formula unit.

It has space group I-42d (No. 122), with a = 3.9380 Å, b = 3.9380 Å, c = 19.9034 Å, α = 90.00°, β = 90.00° and γ = 90.00°. The asymmetric unit holds Tl at (0.0000, 0.0000, 0.0000), Ga at (0.0000, 0.0000, 0.5000) and Mo at (0.2009, 0.2500, 0.6250).

# 4
Entry from Alexandria: a relaxed Tl2GaMo crystal (PBE).

Its formation energy is 0.696 eV/atom. Its final energy is -0.145 hartree per atom. The calculation puts the relative energy among the computed polymorphs at 0.00 eV per formula unit.

It has space group I4_1/amd (No. 141, origin choice 2), with a = 10.6826 Å, b = 10.6826 Å, c = 4.9803 Å, α = 90.00°, β = 90.00° and γ = 90.00°. The asymmetric unit holds Tl at (0.0000, 0.0000, 0.0000), Ga at (0.0000, 0.2500, 0.3750) and Mo at (0.0000, 0.2500, 0.8750).